This record from the Alexandria database describes Cs4Cd2O after structural relaxation. The functional is GGA-PBE.

Properties
crystal system: tetragonal
energy above the lowest structure with this stoichiometry: 0.496 eV per formula unit

Cell lengths 6.106, 6.106, 10.633 Å; angles 73.32, 73.32, 90.00 degrees
Atoms (fractional coordinates):
O  0.000  0.000  0.000
Cd  0.353  0.353  0.294
Cs  0.000  0.500  0.000
Cs  0.500  0.000  0.000
Cs  0.145  0.145  0.711
Cd  0.647  0.647  0.706
Cs  0.855  0.855  0.289

This record from the Alexandria database describes Cs12Cd3O5 after structural relaxation. The functional is GGA-PBE.

Properties
crystal system: cubic

Cell lengths 16.774, 16.774, 16.774 Å; angles 109.47, 109.47, 109.47 degrees
Atoms (fractional coordinates):
Cs  0.597  0.994  0.685
Cs  0.815  0.912  0.309
Cs  0.412  0.103  0.597
Cs  0.903  0.815  0.506
Cs  0.903  0.088  0.897
Cd  0.250  0.125  0.375
Cs  0.103  0.412  0.097
Cs  0.191  0.685  0.088
O  0.875  0.250  0.625
O  0.625  0.750  0.875
Cs  0.309  0.897  0.994
O  0.750  0.125  0.875
O  0.625  0.875  0.250
Cd  0.375  0.750  0.625
Cs  0.685  0.494  0.597
O  0.125  0.750  0.375
Cs  0.506  0.315  0.903
Cs  0.397  0.403  0.088
O  0.500  0.000  0.000
Cd  0.125  0.875  0.750
Cs  0.588  0.897  0.403
O  0.500  0.500  0.500
Cs  0.315  0.809  0.412
Cs  0.097  0.912  0.103
Cs  0.912  0.097  0.603
Cs  0.597  0.603  0.412
Cs  0.403  0.397  0.588
Cd  0.875  0.750  0.125
Cd  0.750  0.875  0.625
Cs  0.809  0.494  0.397
O  0.000  0.500  0.000
Cs  0.994  0.397  0.309
O  0.875  0.625  0.750
Cs  0.994  0.597  0.185
Cs  0.815  0.903  0.006
O  0.000  0.500  0.500
Cs  0.088  0.903  0.397
Cd  0.750  0.375  0.125
Cd  0.375  0.625  0.250
O  0.500  0.000  0.500
Cs  0.006  0.403  0.815
Cs  0.897  0.588  0.903
Cs  0.315  0.506  0.403
Cs  0.309  0.412  0.815
O  0.000  0.000  0.500
Cs  0.097  0.185  0.494
O  0.375  0.250  0.125
Cs  0.494  0.809  0.897
O  0.000  0.000  0.000
Cs  0.506  0.191  0.103
Cs  0.588  0.691  0.685
Cs  0.603  0.006  0.191
O  0.500  0.500  0.000
Cs  0.897  0.309  0.494
O  0.125  0.375  0.250
Cs  0.494  0.685  0.097
Cs  0.809  0.315  0.912
Cs  0.088  0.185  0.191
O  0.375  0.125  0.750
Cs  0.691  0.103  0.006
Cs  0.185  0.097  0.994
Cs  0.685  0.191  0.588
Cs  0.185  0.088  0.691
Cs  0.603  0.597  0.912
Cs  0.006  0.603  0.691
Cs  0.397  0.994  0.809
O  0.250  0.375  0.625
Cd  0.625  0.250  0.375
Cd  0.125  0.250  0.875
Cs  0.403  0.006  0.315
Cs  0.912  0.815  0.809
Cd  0.875  0.125  0.250
Cd  0.625  0.375  0.750
O  0.250  0.875  0.125
Cd  0.250  0.625  0.875
O  0.750  0.625  0.375
Cs  0.412  0.309  0.315
Cs  0.691  0.588  0.185
Cs  0.191  0.506  0.603
Cs  0.103  0.691  0.506

This record from the Alexandria database describes Cs3CdO3 after structural relaxation. The functional is GGA-PBE.

Properties
crystal system: monoclinic
energy above the lowest structure with this stoichiometry: 0.000 eV per formula unit

Cell lengths 7.417, 7.417, 7.520 Å; angles 95.20, 95.20, 114.10 degrees
Site moments in Bohr magnetons follow the coordinates.
Atoms (fractional coordinates):
Cs  0.193  0.807  0.500  0.01
Cs  0.807  0.193  0.500  0.01
Cs  0.627  0.627  0.330  0.01
O  0.170  0.451  0.276  0.25
O  0.902  0.902  0.149  0.31
Cs  0.373  0.373  0.670  0.01
Cd  0.820  0.820  0.848  0.03
Cd  0.180  0.180  0.152  0.03
O  0.830  0.549  0.724  0.25
Cs  0.249  0.751  0.000  0.00
O  0.549  0.830  0.724  0.25
O  0.098  0.098  0.851  0.31
O  0.451  0.170  0.276  0.25
Cs  0.751  0.249  0.000  0.00

This record from the Alexandria database describes Cs4Cd2O after structural relaxation. The functional is GGA-PBE.

Properties
crystal system: monoclinic
energy above the lowest structure with this stoichiometry: 0.000 eV per formula unit

Cell lengths 4.655, 7.915, 9.447 Å; angles 91.81, 104.26, 90.00 degrees
Atoms (fractional coordinates):
Cs  0.458  0.765  0.917
O  0.000  0.000  0.000
Cd  0.223  0.404  0.447
Cs  0.542  0.235  0.083
Cd  0.777  0.596  0.553
Cs  0.144  0.885  0.288
Cs  0.856  0.115  0.712

This record from the Alexandria database describes Cs7Cd2O2 after structural relaxation. The functional is GGA-PBE.

Properties
crystal system: monoclinic

Cell lengths 9.070, 8.683, 8.683 Å; angles 109.92, 96.48, 96.48 degrees
Atoms (fractional coordinates):
Cd  0.000  0.897  0.103
Cs  0.769  0.152  0.464
Cs  0.323  0.359  0.359
Cd  0.000  0.103  0.897
Cs  0.677  0.641  0.641
Cs  0.769  0.464  0.152
O  0.611  0.321  0.321
Cs  0.500  0.000  0.000
O  0.389  0.679  0.679
Cs  0.231  0.536  0.848
Cs  0.231  0.848  0.536

This record from the Alexandria database describes Cs3CdO3 after structural relaxation. The functional is GGA-PBE.

Properties
crystal system: monoclinic
energy above the lowest structure with this stoichiometry: 0.097 eV per formula unit

Cell lengths 7.337, 7.769, 13.155 Å; angles 90.00, 90.00, 97.09 degrees
Site moments in Bohr magnetons follow the coordinates.
Atoms (fractional coordinates):
Cd  0.110  0.164  0.054  0.03
O  0.021  0.890  0.101  0.24
O  0.012  0.680  0.832  0.28
Cs  0.646  0.038  0.135  0.00
O  0.391  0.262  0.019  0.29
O  0.109  0.238  0.519  0.29
O  0.479  0.610  0.601  0.24
O  0.521  0.390  0.399  0.24
Cd  0.390  0.336  0.554  0.03
Cs  0.854  0.462  0.635  0.00
Cs  0.241  0.885  0.580  0.01
O  0.609  0.738  0.981  0.29
Cs  0.146  0.538  0.365  0.00
Cs  0.724  0.568  0.193  0.00
O  0.979  0.110  0.899  0.24
Cs  0.776  0.932  0.693  0.00
Cs  0.224  0.068  0.307  0.00
Cs  0.354  0.962  0.865  0.00
O  0.488  0.820  0.332  0.28
Cs  0.759  0.115  0.420  0.01
O  0.891  0.762  0.481  0.29
O  0.512  0.180  0.668  0.28
O  0.988  0.320  0.168  0.28
Cs  0.741  0.385  0.920  0.01
Cd  0.890  0.836  0.946  0.03
Cd  0.610  0.664  0.446  0.03
Cs  0.259  0.615  0.080  0.01
Cs  0.276  0.432  0.807  0.00

This record from the Alexandria database describes Cs3Cd2O4 after structural relaxation. The functional is GGA-PBE.

Properties
crystal system: monoclinic

Cell lengths 6.534, 8.287, 8.287 Å; angles 81.57, 87.04, 87.04 degrees
Site moments in Bohr magnetons follow the coordinates.
Atoms (fractional coordinates):
Cd  0.931  0.385  0.164  0.02
Cd  0.431  0.164  0.385  0.02
Cs  0.054  0.052  0.723  0.01
O  0.602  0.369  0.249  0.17
Cs  0.750  0.421  0.579  0.00
Cd  0.569  0.836  0.615  0.02
O  0.898  0.751  0.631  0.17
O  0.985  0.351  0.905  0.25
Cs  0.946  0.948  0.277  0.01
O  0.485  0.905  0.351  0.25
O  0.015  0.649  0.095  0.25
Cs  0.250  0.579  0.421  0.00
Cs  0.554  0.723  0.052  0.01
O  0.102  0.249  0.369  0.17
O  0.398  0.631  0.751  0.17
Cs  0.446  0.277  0.948  0.01
O  0.515  0.095  0.649  0.25
Cd  0.069  0.615  0.836  0.02

This record from the Alexandria database describes Cs3CdO after structural relaxation. The functional is GGA-PBE.

Properties
crystal system: cubic
energy above the lowest structure with this stoichiometry: 0.437 eV per formula unit

Cell lengths 6.060, 6.060, 6.060 Å; angles 90.00, 90.00, 90.00 degrees
Atoms (fractional coordinates):
Cs  0.000  0.500  0.000
Cs  0.500  0.000  0.000
Cs  0.000  0.000  0.500
O  0.000  0.000  0.000
Cd  0.500  0.500  0.500

Number 1: formation energy (no corrections) -0.346 eV/atom, calculated total energy -1.80 eV/atom. Number 2: formation energy (no corrections) -0.587 eV/atom, calculated total energy -2.48 eV/atom. Number 3: formation energy (no corrections) -0.970 eV/atom, calculated total energy -3.59 eV/atom. Number 4: formation energy (no corrections) -0.417 eV/atom, calculated total energy -1.87 eV/atom. Number 5: formation energy (no corrections) -0.530 eV/atom, calculated total energy -2.14 eV/atom. Number 6: formation energy (no corrections) -0.956 eV/atom, calculated total energy -3.58 eV/atom. Number 7: formation energy (no corrections) -0.987 eV/atom, calculated total energy -3.68 eV/atom. Number 8: formation energy (no corrections) -0.488 eV/atom, calculated total energy -2.17 eV/atom.